1.
Compound: LuBiTe
Source: OQMD via LeMat-Bulk
Functional: PBE
Structure: relaxed

Computed properties:
The raw total energy comes out at -12.2 eV/f.u. The calculation puts the volume at 32.7 A^3/atom. For the magnetic moment, the calculation gives 0.00 μB per cell. As for the symmetry: No. 216.

Cell lengths 5.1789, 5.1789, 5.1789 Å; angles 60.00, 60.00, 60.00 degrees
With the nearest neighbours (Å) after each atom.
Sites, in units of the cell vectors:
1 Bi 0.2500 0.2500 0.2500  4 Te 3.17
2 Te 0.0000 0.0000 0.0000  4 Lu 3.17, 4 Bi 3.17
3 Lu 0.7500 0.7500 0.7500  4 Te 3.17

---

2.
Compound: LuTlBi
Source: OQMD via LeMat-Bulk
Functional: PBE
Structure: relaxed

Computed properties:
The calculation puts the volume at 34.7 A^3/atom. For the magnetic moment, the calculation gives 0.03 μB per cell. As for the symmetry: No. 216. As for the energy above the most stable polymorph in this dataset: 0 meV per atom.

Cell lengths 5.2827, 5.2827, 5.2827 Å; angles 60.00, 60.00, 60.00 degrees
With the nearest neighbours (Å) after each atom.
Sites, in units of the cell vectors:
1 Lu 0.2500 0.2500 0.2500  4 Bi 3.23
2 Bi 0.0000 0.0000 0.0000  4 Tl 3.23, 4 Lu 3.23
3 Tl 0.7500 0.7500 0.7500  4 Bi 3.23

---

3.
Compound: TmLu2Bi3
Source: OQMD via LeMat-Bulk
Functional: PBE
Structure: relaxed

Computed properties:
The raw total energy comes out at -30.3 eV/f.u. The calculation puts the volume at 30.1 A^3/atom. For the magnetic moment, the calculation gives 0.00 μB per cell. As for the symmetry: No. 164.

Cell lengths 4.3982, 4.3982, 10.7982 Å; angles 90.00, 90.00, 120.00 degrees
With the nearest neighbours (Å) after each atom.
Sites, in units of the cell vectors:
1 Tm 0.0000 0.0000 0.5000  6 Bi 3.12
2 Lu 0.6667 0.3333 0.1666  6 Bi 3.11
3 Lu 0.3333 0.6667 0.8334  6 Bi 3.11
4 Bi 0.3333 0.6667 0.3324  3 Lu 3.11, 3 Tm 3.12
5 Bi 0.0000 0.0000 0.0000  6 Lu 3.11
6 Bi 0.6667 0.3333 0.6676  3 Lu 3.11, 3 Tm 3.12

---

4.
Compound: LuBi2W
Source: OQMD via LeMat-Bulk
Functional: PBE
Structure: relaxed

Computed properties:
The raw total energy comes out at -22.9 eV/f.u. The calculation puts the volume at 24.1 A^3/atom. For the magnetic moment, the calculation gives 1.09 μB per cell. As for the symmetry: No. 216.

Cell lengths 5.1462, 5.1462, 5.1462 Å; angles 60.00, 60.00, 60.00 degrees
With the nearest neighbours (Å) after each atom.
Sites, in units of the cell vectors:
1 Bi 0.7500 0.7500 0.7500  4 W 3.15, 4 Bi 3.15
2 Bi 0.0000 0.0000 0.0000  4 Bi 3.15, 4 Lu 3.15
3 W 0.5000 0.5000 0.5000  4 Lu 3.15, 4 Bi 3.15
4 Lu 0.2500 0.2500 0.2500  4 W 3.15, 4 Bi 3.15

---

5.
Compound: Lu2BiW
Source: OQMD via LeMat-Bulk
Functional: PBE
Structure: relaxed

Computed properties:
The raw total energy comes out at -24.4 eV/f.u. The calculation puts the volume at 22.9 A^3/atom. For the magnetic moment, the calculation gives 1.15 μB per cell. As for the symmetry: No. 216.

Cell lengths 5.0586, 5.0586, 5.0586 Å; angles 60.00, 60.00, 60.00 degrees
With the nearest neighbours (Å) after each atom.
Sites, in units of the cell vectors:
1 W 0.2500 0.2500 0.2500  4 Lu 3.10, 4 Bi 3.10
2 Lu 0.0000 0.0000 0.0000  4 W 3.10, 4 Lu 3.10
3 Lu 0.7500 0.7500 0.7500  4 Bi 3.10, 4 Lu 3.10
4 Bi 0.5000 0.5000 0.5000  4 W 3.10, 4 Lu 3.10

---

6.
Compound: LuBiW
Source: OQMD via LeMat-Bulk
Functional: PBE
Structure: relaxed

Computed properties:
The calculation puts the volume at 25.9 A^3/atom. For the magnetic moment, the calculation gives 0.44 μB per cell. As for the symmetry: No. 216. As for the energy above the most stable polymorph in this dataset: 0 meV per atom.

Cell lengths 4.7911, 4.7911, 4.7911 Å; angles 60.00, 60.00, 60.00 degrees
With the nearest neighbours (Å) after each atom.
Sites, in units of the cell vectors:
1 Lu 0.7500 0.7500 0.7500  4 W 2.93
2 Bi 0.2500 0.2500 0.2500  4 W 2.93
3 W 0.0000 0.0000 0.0000  4 Lu 2.93, 4 Bi 2.93

---

7.
Compound: YLuBi
Source: OQMD via LeMat-Bulk
Functional: PBE
Structure: relaxed

Computed properties:
The raw total energy comes out at -14.4 eV/f.u. The calculation puts the volume at 34.9 A^3/atom. For the magnetic moment, the calculation gives 0.02 μB per cell. As for the symmetry: No. 216.

Cell lengths 5.2886, 5.2886, 5.2886 Å; angles 60.00, 60.00, 60.00 degrees
With the nearest neighbours (Å) after each atom.
Sites, in units of the cell vectors:
1 Bi 0.5000 0.5000 0.5000  4 Y 3.24
2 Lu 0.0000 0.0000 0.0000  4 Y 3.24
3 Y 0.2500 0.2500 0.2500  4 Bi 3.24, 4 Lu 3.24

---

8.
Compound: Lu2ZnBi
Source: OQMD via LeMat-Bulk
Functional: PBE
Structure: relaxed

Computed properties:
The raw total energy comes out at -14.0 eV/f.u. The calculation puts the volume at 26.4 A^3/atom. For the magnetic moment, the calculation gives 0.02 μB per cell. As for the symmetry: No. 216.

Cell lengths 5.3049, 5.3049, 5.3049 Å; angles 60.00, 60.00, 60.00 degrees
With the nearest neighbours (Å) after each atom.
Sites, in units of the cell vectors:
1 Lu 0.7500 0.7500 0.7500  4 Lu 3.25, 4 Bi 3.25
2 Lu 0.0000 0.0000 0.0000  4 Lu 3.25, 4 Zn 3.25
3 Bi 0.5000 0.5000 0.5000  4 Lu 3.25, 4 Zn 3.25
4 Zn 0.2500 0.2500 0.2500  4 Bi 3.25, 4 Lu 3.25